Entry 1:
Entry from Alexandria: an optimized crystal structure of NaErBi2 (PBE).

Cell: 5.4861 5.4861 5.4861 Å, 60.00 60.00 60.00°
Closest atoms and distances in Å follow each position.
Element x y z (fractional)
Na 0.5000 0.5000 0.5000  8 Bi 3.36
Er 0.0000 0.0000 0.0000  8 Bi 3.36
Bi 0.7500 0.7500 0.7500  4 Na 3.36, 4 Er 3.36
Bi 0.2500 0.2500 0.2500  4 Er 3.36, 4 Na 3.36

Computed properties:
* DFT total energy: -0.139 Ha/atom
* E_form: -146 kJ/mol of formula units
* calculated density: 8.7 g/cm³

=====

Entry 2:
Entry from Alexandria: an optimized crystal structure of NaErBi2 (PBE).

Cell: 4.8562 4.8562 6.9899 Å, 69.67 69.67 60.00°
Closest atoms and distances in Å follow each position.
Element x y z (fractional)
Er 0.6715 0.6715 0.9855  6 Bi 3.18-3.23, 1 Na 3.46
Bi 0.2543 0.2543 0.2372  3 Er 3.23, 1 Bi 3.30, 3 Na 3.36
Bi 0.0827 0.0827 0.7519  3 Na 3.16, 3 Er 3.18, 1 Bi 3.30
Na 0.4915 0.4915 0.5254  6 Bi 3.16-3.36, 1 Er 3.46

Computed properties:
* DFT total energy: -0.140 Ha/atom
* E_form: -153 kJ/mol of formula units
* calculated density: 7.7 g/cm³

=====

Entry 3:
Entry from Alexandria: an optimized crystal structure of NaErBi2 (PBE).

Cell: 4.4610 4.4610 8.1726 Å, 74.16 74.16 60.00°
Closest atoms and distances in Å follow each position.
Element x y z (fractional)
Bi 0.2572 0.2572 0.2283  3 Er 3.13, 3 Na 3.33
Na 0.5000 0.5000 0.5000  6 Bi 3.33
Er 0.0000 0.0000 0.0000  6 Bi 3.13
Bi 0.7428 0.7428 0.7717  3 Er 3.13, 3 Na 3.33

Computed properties:
* DFT total energy: -0.137 Ha/atom
* E_form: -117 kJ/mol of formula units
* calculated density: 7.6 g/cm³

=====

Repeat the third record exactly.
Entry from Alexandria: an optimized crystal structure of NaErBi2 (PBE).

Cell: 4.4610 4.4610 8.1726 Å, 74.16 74.16 60.00°
Closest atoms and distances in Å follow each position.
Element x y z (fractional)
Bi 0.2572 0.2572 0.2283  3 Er 3.13, 3 Na 3.33
Na 0.5000 0.5000 0.5000  6 Bi 3.33
Er 0.0000 0.0000 0.0000  6 Bi 3.13
Bi 0.7428 0.7428 0.7717  3 Er 3.13, 3 Na 3.33

Computed properties:
* DFT total energy: -0.137 Ha/atom
* E_form: -117 kJ/mol of formula units
* calculated density: 7.6 g/cm³